Rb2NaSn3Pb4: optimized geometry, GGA-PBE.

Cell lengths 5.1923, 5.1923, 13.6112 Å; angles 90.00, 90.00, 90.00 degrees
With the nearest neighbours (Å) after each atom.
Space group P-4m2 (No. 115)
Symmetry-distinct sites (fractional):
Rb: 0.0000 0.5000 0.2474 x2  6 Sn 3.98-4.31, 8 Pb 4.01-4.25, 2 Na 4.31
Na: 0.0000 0.0000 0.5000 x1  4 Pb 3.18
Sn: 0.0000 0.5000 0.8662 x2  5 Pb 3.15-3.17
Sn: 0.5000 0.5000 0.5000 x1  4 Pb 3.18
Pb: 0.0000 0.0000 0.0000 x1  4 Sn 3.17
Pb: 0.0000 0.5000 0.6348 x2  3 Sn 3.15-3.18, 2 Na 3.18
Pb: 0.5000 0.5000 0.0000 x1  4 Sn 3.17

Properties
D(E_F) = 7.55 states/eV per cell
Size of the total moment = 0.000 μB per atom
Formation energy from the elements = -110 meV/atom